A geometry-optimized CaCdHgRu2 structure, computed with PBE.

D(E_F): 1.41 states/eV per atom
Volume: 134.66 Å³ per cell
Energy relative to the elements: 6.05 eV/f.u.
DFT total energy: -3.145 eV per atom
Size of the total moment: 3.058 μB per cell
Space-group type: P4/mmm (123)

abc: 5.1186 5.1186 5.1396
angles: 90.00 90.00 90.00
Closest atoms and distances in Å follow each position.
Element x y z (fractional)
Ca  0.0000  0.0000  0.0000  4 Cd 3.62, 8 Ru 3.63
Cd  0.5000  0.5000  0.0000  2 Hg 2.57
Hg  0.5000  0.5000  0.5000  4 Ru 2.56, 2 Cd 2.57
Ru  0.0000  0.5000  0.5000  2 Hg 2.56
Ru  0.5000  0.0000  0.5000  2 Hg 2.56